1.
The following is a PBE calculation of a relaxed structure of InPd, from Alexandria.

Unit cell a=9.6697 b=7.8149 c=6.1676 alpha=86.66 beta=53.79 gamma=39.55
Element x y z (fractional)
In 0.0120 0.7380 0.0120
In 0.2620 0.9880 0.2620
In 0.7380 0.0120 0.7380
In 0.9880 0.2620 0.9880
Pd 0.2736 0.2736 0.4764
Pd 0.4764 0.4764 0.2736
Pd 0.5236 0.5236 0.7264
Pd 0.7264 0.7264 0.5236

DFT total energy in eV/atom: -4.37
Energy of formation from the pure elements in eV per atom: -0.40
Density of states at the Fermi level in states/eV/cell: 2.2
M_tot in μB per cell: 0.0

2.
The following is a PBE calculation of a relaxed structure of NaLiLaAg, from Alexandria.

Unit cell a=5.3035 b=5.3035 c=5.3035 alpha=60.00 beta=60.00 gamma=60.00
Element x y z (fractional)
Na 0.0000 0.0000 0.0000
Li 0.7500 0.7500 0.7500
La 0.5000 0.5000 0.5000
Ag 0.2500 0.2500 0.2500

DFT total energy in eV/atom: -2.72
Energy of formation from the pure elements in eV per atom: 0.04
Density of states at the Fermi level in states/eV/cell: 4.0
M_tot in μB per cell: 0.0